{
  "formula": "SiMo2As",
  "functional": "GGA-PBEsol",
  "state": "optimized geometry",
  "cell": [[3.1392, 0.0000, 0.0000], [0.0000, 4.8333, 0.0000], [0.0000, 0.0000, 7.8692]],
  "species": ["Si", "Si", "Mo", "Mo", "Mo", "Mo", "As", "As"],
  "frac_coords": [[0.0000, 0.0000, 0.0000], [0.5000, 0.5000, 0.5000], [0.0000, 0.5000, 0.2491], [0.0000, 0.5000, 0.7509], [0.5000, 0.0000, 0.2509], [0.5000, 0.0000, 0.7491], [0.0000, 0.0000, 0.5000], [0.5000, 0.5000, 0.0000]],
  "crystal_system": "orthorhombic",
  "relative_energy_ev_per_fu": 0.42,
  "vol_a3_per_atom": 14.92,
  "sg": "Immm, No. 71",
  "energy_ev_per_atom": -8.478,
  "e_form_raw_mev_per_atom": 119
}